The following is a DFT calculation (meta-GGA SCAN) of a PBEsol-optimized structure of Li3MnNi2O6.

Cell and atoms, written as CIF:
```
data_Li3MnNi2O6
_chemical_formula_sum 'Li3 Mn1 Ni2 O6'
_symmetry_space_group_name_H-M 'P 1'
_symmetry_Int_Tables_number 1
_cell_length_a 2.822
_cell_length_b 5.727
_cell_length_c 6.499
_cell_angle_alpha 102.57
_cell_angle_beta 102.54
_cell_angle_gamma 90.00
loop_
_symmetry_equiv_pos_as_xyz
'x,y,z'
loop_
_atom_site_label
_atom_site_type_symbol
_atom_site_fract_x
_atom_site_fract_y
_atom_site_fract_z
_atom_site_occupancy
Li1 Li 0.500 0.500 0.000 1
Li2 Li 0.170 0.826 0.340 1
Li3 Li 0.830 0.174 0.660 1
Mn1 Mn 0.500 0.000 0.000 1
Ni1 Ni 0.166 0.335 0.332 1
Ni2 Ni 0.834 0.665 0.668 1
O1 O 0.655 0.091 0.310 1
O2 O 0.345 0.909 0.690 1
O3 O 0.331 0.436 0.662 1
O4 O 0.669 0.564 0.338 1
O5 O 0.005 0.776 0.009 1
O6 O 0.995 0.224 0.991 1
```

Formation energy without anion corrections: -183.3 kJ/mol of atoms
VASP energy: -9.83 eV per atom